--- 1 ---
A relaxed structure of La2MgCo2Sb2Pb2O12, computed with PBE with a Hubbard U.

abc: 5.6936 6.1696 8.5441
angles: 92.01 92.34 90.79
With the nearest neighbours (Å) after each atom.
Element x y z (fractional)
La  0.0000  0.0000  0.0000  6 O 2.38-2.58
La  0.4682  0.6480  0.4498  7 O 2.46-2.69
Mg  0.8587  0.4129  0.8002  4 O 1.99-2.16
Co  0.0094  0.7483  0.6434  3 O 1.96-1.97
Co  0.4552  0.1040  0.2644  4 O 2.15-2.36
Sb  0.4439  0.0965  0.7111  6 O 2.02-2.06
Sb  0.9428  0.5769  0.2217  6 O 2.03-2.05
Pb  0.4125  0.5249  0.9949  7 O 2.51-2.75
Pb  0.9138  0.1314  0.4485  3 O 2.42-2.62
O  0.0413  0.5630  0.4532  1 Co 1.97, 1 Sb 2.04
O  0.1289  0.3033  0.1754  1 Sb 2.04
O  0.1638  0.2589  0.7995  1 Mg 1.99, 1 Sb 2.05
O  0.2311  0.7721  0.1935  1 Sb 2.05
O  0.2637  0.8390  0.7944  1 Co 1.96, 1 Sb 2.04
O  0.3202  0.0315  0.4890  1 Sb 2.02, 1 Co 2.16
O  0.5998  0.3696  0.6367  1 Mg 2.00, 1 Sb 2.03
O  0.6390  0.4094  0.2486  1 Sb 2.03, 1 Co 2.15
O  0.6497  0.1668  0.9062  1 Sb 2.03, 1 Mg 2.16
O  0.6971  0.8819  0.6408  1 Co 1.97, 1 Sb 2.06
O  0.7543  0.8536  0.2582  1 Sb 2.05
O  0.8736  0.6144  0.9879  1 Mg 1.99, 1 Sb 2.04


--- 2 ---
A relaxed structure of La2MgCo2Sb2Pb2O12, computed with PBE with a Hubbard U.

abc: 5.8309 5.9002 9.1608
angles: 86.89 83.23 86.90
With the nearest neighbours (Å) after each atom.
Element x y z (fractional)
La  0.0000  0.0000  0.0000  7 O 2.40-2.68
La  0.4611  0.6049  0.4600  4 O 2.31-2.50
Mg  0.4239  0.0495  0.2370  4 O 2.04-2.13
Co  0.0592  0.5766  0.8036  5 O 1.92-2.14
Co  0.8470  0.9964  0.3530  3 O 1.92-2.02
Sb  0.0022  0.5349  0.2409  6 O 1.99-2.09
Sb  0.5324  0.0347  0.7854  3 O 2.02-2.07
Pb  0.0417  0.1715  0.5999  2 O 2.22-2.33
Pb  0.5511  0.5103  0.0133  5 O 2.46-2.73
O  0.1219  0.5898  0.0287  1 Sb 2.00, 1 Co 2.14
O  0.1519  0.8344  0.2854  1 Co 2.02, 1 Mg 2.08, 1 Sb 2.09
O  0.2405  0.8678  0.7661  1 Sb 2.04, 1 Co 2.06
O  0.2784  0.4188  0.6662  1 Co 1.92
O  0.2959  0.3690  0.2831  1 Sb 1.99, 1 Mg 2.04
O  0.4185  0.0772  0.0049  1 Sb 2.07, 1 Mg 2.13
O  0.5333  0.9866  0.4425  1 Co 1.92, 1 Mg 2.07
O  0.7259  0.7563  0.1979  1 Sb 2.08, 1 Co 2.26
O  0.7619  0.7874  0.8450  1 Sb 2.02, 1 Co 2.09
O  0.8382  0.2536  0.1984  1 Co 2.02, 1 Sb 2.04
O  0.8642  0.5146  0.4506  1 Sb 1.99
O  0.8832  0.2933  0.8291  1 Co 2.00


--- 3 ---
A relaxed structure of La2MgCo2Sb2Pb2O12, computed with PBE with a Hubbard U.

abc: 6.4073 7.2942 7.3831
angles: 86.44 88.51 77.74
With the nearest neighbours (Å) after each atom.
Element x y z (fractional)
La  0.0000  0.0000  0.0000  6 O 2.35-2.58
La  0.4228  0.7317  0.5767  4 O 2.35-2.54
Mg  0.1976  0.3783  0.0218  5 O 2.04-2.20
Co  0.3263  0.2846  0.5843  2 O 1.91-1.92
Co  0.8954  0.6314  0.2801  3 O 1.94-2.12
Sb  0.4328  0.0523  0.2508  6 O 1.99-2.08
Sb  0.9341  0.6075  0.7670  6 O 1.97-2.18
Pb  0.6081  0.4994  0.0894  3 O 2.39-2.48
Pb  0.8976  0.1333  0.4860  3 O 2.33-2.53
O  0.0265  0.6535  0.0394  1 Co 1.96, 1 Mg 2.08, 1 Sb 2.18
O  0.0281  0.8524  0.7037  1 Sb 2.03
O  0.1596  0.9470  0.3120  1 Sb 2.08
O  0.2522  0.4852  0.7435  1 Co 1.91, 1 Sb 2.05
O  0.2746  0.3187  0.2895  1 Sb 2.03, 1 Mg 2.05, 1 Co 2.20
O  0.3257  0.1001  0.9981  1 Sb 1.99, 1 Mg 2.04
O  0.4868  0.0432  0.5227  1 Co 1.92, 1 Sb 2.04
O  0.5724  0.7769  0.2653  1 Sb 2.02, 1 Co 2.12
O  0.6348  0.7136  0.8349  1 Sb 1.97
O  0.7180  0.1216  0.1980  1 Sb 2.02
O  0.8264  0.5625  0.5284  1 Co 1.94, 1 Sb 1.98
O  0.9152  0.3526  0.8981  1 Sb 2.07, 1 Mg 2.10


Stability comparison, relative energies in meV/atom: 1 36; 2 0; 3 53


--- 1 ---
A relaxed structure of La2MgCo2Sb2Pb2O12, computed with PBE with a Hubbard U.

abc: 5.7865 6.5839 8.6160
angles: 98.38 92.41 91.61
With the nearest neighbours (Å) after each atom.
Element x y z (fractional)
La  0.0000  0.0000  0.0000  5 O 2.39-2.62
La  0.4669  0.6626  0.5639  7 O 2.36-2.64
Mg  0.5050  0.3346  0.2149  3 O 1.96-2.01
Co  0.4377  0.9167  0.2989  4 O 1.92-2.11
Co  0.9517  0.5711  0.7564  4 O 1.99-2.08
Sb  0.5406  0.1517  0.7509  3 O 2.00-2.03
Sb  0.9692  0.5755  0.2972  6 O 1.99-2.11
Pb  0.0063  0.1784  0.4982  5 O 2.44-2.69
Pb  0.4408  0.6354  0.9607  2 O 2.25-2.30
O  0.0295  0.6725  0.0942  1 Sb 1.99
O  0.1593  0.8237  0.4034  1 Co 2.00, 1 Sb 2.02
O  0.2039  0.7865  0.8008  1 Co 1.99
O  0.2539  0.4209  0.3528  1 Mg 1.96, 1 Sb 2.04
O  0.3636  0.3932  0.7039  1 Sb 2.00
O  0.3800  0.0545  0.1208  1 Co 1.92, 1 Mg 2.01
O  0.5840  0.0337  0.5239  1 Sb 2.03, 1 Co 2.11
O  0.6329  0.6639  0.2825  1 Co 2.03, 1 Sb 2.05, 1 Mg 2.26
O  0.7144  0.7800  0.8211  1 Co 2.01
O  0.8412  0.2868  0.2078  1 Mg 1.98, 1 Sb 2.05
O  0.8590  0.5246  0.5186  1 Co 2.07, 1 Sb 2.11
O  0.8634  0.2743  0.7926  1 Sb 2.01, 1 Co 2.08


--- 2 ---
A relaxed structure of La2MgCo2Sb2Pb2O12, computed with PBE with a Hubbard U.

abc: 5.7278 5.8355 9.0724
angles: 83.11 89.88 83.99
With the nearest neighbours (Å) after each atom.
Element x y z (fractional)
La  0.0000  0.0000  0.0000  3 O 2.34-2.57
La  0.3698  0.5733  0.4880  6 O 2.36-2.59
Mg  0.4291  0.3430  0.8571  5 O 2.00-2.21
Co  0.4027  0.9235  0.7249  3 O 2.03-2.17
Co  0.9209  0.6142  0.2876  2 O 2.00-2.06
Sb  0.4097  0.1090  0.2742  6 O 2.01-2.09
Sb  0.9102  0.5358  0.7617  6 O 2.00-2.08
Pb  0.5376  0.6367  0.0878  4 O 2.40-2.58
Pb  0.8816  0.0943  0.5242  5 O 2.52-2.75
O  0.1366  0.3221  0.3375  1 Co 2.00, 1 Sb 2.02
O  0.1413  0.2365  0.7566  1 Mg 2.07, 1 Sb 2.08, 1 Co 2.28
O  0.2037  0.6630  0.8409  1 Sb 2.07, 1 Mg 2.15, 1 Co 2.17
O  0.2259  0.8341  0.2512  1 Sb 2.04, 1 Co 2.27
O  0.3371  0.1981  0.0575  1 Mg 2.00, 1 Sb 2.01
O  0.4642  0.9718  0.4913  1 Sb 2.05, 1 Co 2.14
O  0.6077  0.3696  0.3097  1 Sb 2.05
O  0.6357  0.3936  0.6755  1 Mg 2.04, 1 Sb 2.05
O  0.7195  0.9203  0.2169  1 Co 2.06, 1 Sb 2.09
O  0.7291  0.8327  0.8140  1 Sb 2.03, 1 Co 2.03
O  0.7820  0.3637  0.9484  1 Sb 2.04, 1 Mg 2.21
O  0.9722  0.6588  0.5517  1 Sb 2.00


Stability comparison, relative energies in meV/atom: 1 0; 2 45